w | Computed, not measured: crystalline NbTlS2N at its relaxed geometry at the PBE level of DFT.

crystal system	tetragonal
SG	P4/mmm (123)
calculated density	6.18	g/cm3

a = 5.031 Å, b = 5.031 Å, c = 3.986 Å
α = 90.00°, β = 90.00°, γ = 90.00°
Fractional coordinates of all 5 atoms:
S 0.000 0.500 0.000
S 0.500 0.000 0.000
Tl 0.500 0.500 0.500
Nb 0.000 0.000 0.000
N 0.000 0.000 0.500

=====

x | Computed, not measured: crystalline NbTlS2N at its relaxed geometry at the PBE level of DFT.

crystal system	tetragonal
SG	P4/mmm (123)
calculated density	6.06	g/cm3

a = 5.080 Å, b = 5.080 Å, c = 3.985 Å
α = 90.00°, β = 90.00°, γ = 90.00°
Fractional coordinates of all 5 atoms:
S 0.000 0.500 0.000
S 0.500 0.000 0.000
Tl 0.000 0.000 0.000
Nb 0.500 0.500 0.500
N 0.000 0.000 0.500

=====

w is favored, and the nearest alternative lies 1790 meV per atom above it.

=====

w | Computed, not measured: crystalline NbWS2N at its relaxed geometry at the PBE level of DFT.

crystal system	tetragonal
SG	P4/mmm (123)
calculated density	6.76	g/cm3

a = 4.806 Å, b = 4.806 Å, c = 3.772 Å
α = 90.00°, β = 90.00°, γ = 90.00°
Fractional coordinates of all 5 atoms:
Nb 0.500 0.500 0.500
S 0.000 0.500 0.000
S 0.500 0.000 0.000
W 0.000 0.000 0.000
N 0.000 0.000 0.500

=====

x | Computed, not measured: crystalline NbWS2N at its relaxed geometry at the PBE level of DFT.

crystal system	tetragonal
SG	P4/mmm (123)
calculated density	6.39	g/cm3

a = 4.899 Å, b = 4.899 Å, c = 3.845 Å
α = 90.00°, β = 90.00°, γ = 90.00°
Fractional coordinates of all 5 atoms:
Nb 0.000 0.000 0.000
S 0.000 0.500 0.000
S 0.500 0.000 0.000
W 0.500 0.500 0.500
N 0.000 0.000 0.500

=====

w is favored, and the nearest alternative lies 443 meV per atom above it.

=====

w | Computed, not measured: crystalline NbWSN2 at its relaxed geometry at the PBE level of DFT.

crystal system	tetragonal
SG	P4/mmm (123)
calculated density	7.02	g/cm3

a = 3.988 Å, b = 3.988 Å, c = 5.013 Å
α = 90.00°, β = 90.00°, γ = 90.00°
Fractional coordinates of all 5 atoms:
Nb 0.000 0.000 0.000
S 0.000 0.000 0.500
W 0.500 0.500 0.500
N 0.000 0.500 0.000
N 0.500 0.000 0.000

=====

x | Computed, not measured: crystalline NbWSN2 at its relaxed geometry at the PBE level of DFT.

crystal system	tetragonal
SG	P4/mmm (123)
calculated density	7.60	g/cm3

a = 3.907 Å, b = 3.907 Å, c = 4.822 Å
α = 90.00°, β = 90.00°, γ = 90.00°
Fractional coordinates of all 5 atoms:
Nb 0.500 0.500 0.500
S 0.000 0.000 0.500
W 0.000 0.000 0.000
N 0.000 0.500 0.000
N 0.500 0.000 0.000

=====

x is favored, and the nearest alternative lies 561 meV per atom above it.

=====

w | Computed, not measured: crystalline NbZnS2N at its relaxed geometry at the PBE level of DFT.

crystal system	tetragonal
SG	P4/mmm (123)
calculated density	4.89	g/cm3

a = 4.716 Å, b = 4.716 Å, c = 3.612 Å
α = 90.00°, β = 90.00°, γ = 90.00°
Fractional coordinates of all 5 atoms:
S 0.000 0.500 0.000
S 0.500 0.000 0.000
Nb 0.500 0.500 0.500
Zn 0.000 0.000 0.000
N 0.000 0.000 0.500

=====

x | Computed, not measured: crystalline NbZnS2N at its relaxed geometry at the PBE level of DFT.

crystal system	tetragonal
SG	P4/mmm (123)
calculated density	4.12	g/cm3

a = 4.954 Å, b = 4.954 Å, c = 3.880 Å
α = 90.00°, β = 90.00°, γ = 90.00°
Fractional coordinates of all 5 atoms:
S 0.000 0.500 0.000
S 0.500 0.000 0.000
Nb 0.000 0.000 0.000
Zn 0.500 0.500 0.500
N 0.000 0.000 0.500

=====

x is favored, and the nearest alternative lies 836 meV per atom above it.

=====

w | Computed, not measured: crystalline NbSbTe2N at its relaxed geometry at the PBE level of DFT.

crystal system	tetragonal
SG	P4/mmm (123)
calculated density	6.49	g/cm3

a = 5.623 Å, b = 3.915 Å, c = 5.623 Å
α = 90.00°, β = 90.00°, γ = 90.00°
Fractional coordinates of all 5 atoms:
Sb 0.500 0.500 0.500
Nb 0.000 0.000 0.000
Te 0.000 0.000 0.500
Te 0.500 0.000 0.000
N 0.000 0.500 0.000

=====

x | Computed, not measured: crystalline NbSbTe2N at its relaxed geometry at the PBE level of DFT.

crystal system	tetragonal
SG	P4/mmm (123)
calculated density	5.05	g/cm3

a = 5.410 Å, b = 5.410 Å, c = 5.436 Å
α = 90.00°, β = 90.00°, γ = 90.00°
Fractional coordinates of all 5 atoms:
Sb 0.000 0.000 0.500
Nb 0.000 0.000 0.000
Te 0.000 0.500 0.000
Te 0.500 0.000 0.000
N 0.500 0.500 0.500

=====

y | Computed, not measured: crystalline NbSbTe2N at its relaxed geometry at the PBE level of DFT.

crystal system	tetragonal
SG	P4/mmm (123)
calculated density	7.73	g/cm3

a = 4.722 Å, b = 4.722 Å, c = 4.664 Å
α = 90.00°, β = 90.00°, γ = 90.00°
Fractional coordinates of all 5 atoms:
Sb 0.000 0.000 0.500
Nb 0.500 0.500 0.500
Te 0.000 0.500 0.000
Te 0.500 0.000 0.000
N 0.000 0.000 0.000

=====

z | Computed, not measured: crystalline NbSbTe2N at its relaxed geometry at the PBE level of DFT.

crystal system	tetragonal
SG	P4/mmm (123)
calculated density	6.27	g/cm3

a = 5.735 Å, b = 5.735 Å, c = 3.894 Å
α = 90.00°, β = 90.00°, γ = 90.00°
Fractional coordinates of all 5 atoms:
Sb 0.000 0.000 0.000
Nb 0.500 0.500 0.500
Te 0.000 0.500 0.000
Te 0.500 0.000 0.000
N 0.000 0.000 0.500

=====

w is favored, and the nearest alternative lies 604 meV per atom above it.

=====

w | Computed, not measured: crystalline NbSbTeN2 at its relaxed geometry at the PBE level of DFT.

crystal system	tetragonal
SG	P4/mmm (123)
calculated density	6.05	g/cm3

a = 4.082 Å, b = 4.082 Å, c = 6.103 Å
α = 90.00°, β = 90.00°, γ = 90.00°
Fractional coordinates of all 5 atoms:
Sb 0.000 0.000 0.000
Nb 0.500 0.500 0.500
Te 0.000 0.000 0.500
N 0.000 0.500 0.000
N 0.500 0.000 0.000

=====

x | Computed, not measured: crystalline NbSbTeN2 at its relaxed geometry at the PBE level of DFT.

crystal system	tetragonal
SG	P4/mmm (123)
calculated density	6.16	g/cm3

a = 4.160 Å, b = 4.160 Å, c = 5.767 Å
α = 90.00°, β = 90.00°, γ = 90.00°
Fractional coordinates of all 5 atoms:
Sb 0.500 0.500 0.500
Nb 0.000 0.000 0.000
Te 0.000 0.000 0.500
N 0.000 0.500 0.000
N 0.500 0.000 0.000

=====

x is favored, and the nearest alternative lies 959 meV per atom above it.

=====

w | Computed, not measured: crystalline Sc2NbN2 at its relaxed geometry at the PBE level of DFT.

crystal system	tetragonal
SG	I4/mmm (139)
calculated density	4.92	g/cm3

a = 4.084 Å, b = 4.084 Å, c = 5.152 Å
α = 66.65°, β = 66.65°, γ = 90.00°
Fractional coordinates of all 5 atoms:
Sc 0.326 0.326 0.347
Sc 0.674 0.674 0.653
Nb 0.000 0.000 0.000
N 0.750 0.250 0.500
N 0.250 0.750 0.500

=====

x | Computed, not measured: crystalline Sc2NbN2 at its relaxed geometry at the PBE level of DFT.

crystal system	tetragonal
SG	P4/mbm (127)
calculated density	5.41	g/cm3

a = 6.685 Å, b = 6.685 Å, c = 2.899 Å
α = 90.00°, β = 90.00°, γ = 90.00°
Fractional coordinates of all 10 atoms:
Sc 0.356 0.856 0.000
Sc 0.856 0.644 0.000
Sc 0.644 0.144 0.000
Sc 0.144 0.356 0.000
Nb 0.000 0.000 0.000
Nb 0.500 0.500 0.000
N 0.173 0.673 0.500
N 0.673 0.827 0.500
N 0.827 0.327 0.500
N 0.327 0.173 0.500

=====

w is favored, and the nearest alternative lies 482 meV per atom above it.

=====

w | Computed, not measured: crystalline Sc2Nb2N at its relaxed geometry at the PBE level of DFT.

crystal system	tetragonal
SG	P4/mbm (127)
calculated density	5.33	g/cm3

a = 5.807 Å, b = 5.807 Å, c = 5.352 Å
α = 90.00°, β = 90.00°, γ = 90.00°
Fractional coordinates of all 10 atoms:
Sc 0.325 0.825 0.000
Sc 0.825 0.675 0.000
Sc 0.675 0.175 0.000
Sc 0.175 0.325 0.000
Nb 0.157 0.657 0.500
Nb 0.657 0.843 0.500
Nb 0.843 0.343 0.500
Nb 0.343 0.157 0.500
N 0.000 0.000 0.000
N 0.500 0.500 0.000

=====

x | Computed, not measured: crystalline Sc2Nb2N at its relaxed geometry at the PBE level of DFT.

crystal system	tetragonal
SG	I4/mmm (139)
calculated density	4.95	g/cm3

a = 3.457 Å, b = 3.457 Å, c = 8.501 Å
α = 78.27°, β = 78.27°, γ = 90.00°
Fractional coordinates of all 5 atoms:
Sc 0.417 0.417 0.166
Sc 0.583 0.583 0.834
Nb 0.750 0.250 0.500
Nb 0.250 0.750 0.500
N 0.000 0.000 0.000

=====

w is favored, and the nearest alternative lies 513 meV per atom above it.